Crystalline La8CS3I4 at its relaxed geometry. Source: Alexandria via LeMat-Bulk, functional GGA-PBE.

Computed properties:
* SG: R-3m
* ΔE_f (raw): -22.4 eV/f.u.

The structure in extended XYZ format:
```
16
Lattice="-4.415 5.750 -4.148 -7.551 -2.481 4.598 6.627 2.295 4.536" Properties=species:S:1:pos:R:3 pbc="T T T"
S -2.670 2.782 2.493
S -5.983 1.634 0.225
S -0.462 -0.093 4.567
I 1.106 4.022 0.194
I 0.000 0.000 0.000
I 3.314 1.147 2.268
I -2.208 2.875 -2.074
La 0.293 1.767 6.647
La -5.401 3.544 2.253
La 0.062 2.019 2.733
La -2.078 5.028 0.771
La -5.633 3.797 -1.661
La -3.264 0.712 0.564
La -2.075 4.851 4.422
La -3.262 0.536 4.215
C -3.776 -1.241 2.299
```

Crystalline LaSbCI2 at its relaxed geometry. Source: Alexandria via LeMat-Bulk, functional GGA-PBE.

Computed properties:
* polymorph energy (0 for the lowest one): 650.4 meV per atom
* SG: P4/mmm
* ΔE_f (raw): 5.1 eV/f.u.

The structure in extended XYZ format:
```
5
Lattice="-2.637 0.331 -5.668 3.927 -4.408 -2.084 -4.328 -4.678 1.740" Properties=species:S:1:pos:R:3 pbc="T T T"
Sb -2.164 -2.339 0.870
La 0.000 0.000 0.000
I -1.318 0.166 -2.834
I 1.963 -2.204 -1.042
C -1.519 -4.377 -3.006
```

Crystalline LaSbCI2 at its relaxed geometry. Source: Alexandria via LeMat-Bulk, functional GGA-PBE.

Computed properties:
* polymorph energy (0 for the lowest one): 0.0 meV per atom
* SG: P4/mmm
* ΔE_f (raw): 1.8 eV/f.u.

The structure in extended XYZ format:
```
5
Lattice="5.071 0.000 0.000 0.000 5.071 0.000 0.000 0.000 5.075" Properties=species:S:1:pos:R:3 pbc="T T T"
C 0.000 0.000 0.000
Sb 0.000 0.000 2.537
La 2.536 2.536 2.537
I 0.000 2.536 0.000
I 2.536 0.000 0.000
```

Crystalline La6C2SeI3 at its relaxed geometry. Source: Alexandria via LeMat-Bulk, functional GGA-PBE.

Computed properties:
* SG: C2/m
* ΔE_f (raw): -12.0 eV/f.u.

The structure in extended XYZ format:
```
12
Lattice="7.122 -0.002 -0.001 -3.561 6.168 -0.001 -1.189 -2.060 7.913" Properties=species:S:1:pos:R:3 pbc="T T T"
Se 0.000 0.000 0.000
I 4.805 -0.037 3.955
I 1.186 2.053 3.955
I -2.434 4.144 3.955
La 3.661 1.874 6.489
La -0.206 4.107 6.489
La -1.289 2.233 1.422
La 2.273 3.935 1.410
La 2.578 -0.001 1.422
La 0.099 0.172 6.500
C -0.004 4.114 -0.001
C 3.565 2.053 -0.001
```

Crystalline La4CSeI2 at its relaxed geometry. Source: Alexandria via LeMat-Bulk, functional GGA-PBE.

Computed properties:
* SG: P2/m
* ΔE_f (raw): -9.1 eV/f.u.

The structure in extended XYZ format:
```
8
Lattice="-1.763 -3.710 -0.304 1.319 -1.222 7.249 -7.332 3.523 -0.472" Properties=species:S:1:pos:R:3 pbc="T T T"
Se 0.000 0.000 0.000
C -0.222 -2.466 3.472
La -1.908 -1.522 1.737
La -5.868 0.114 4.735
La -0.407 -0.214 4.960
La -5.607 2.515 1.817
I -4.548 -0.093 -0.388
I -3.007 1.151 3.388
```

Crystalline La4SiCI2 at its relaxed geometry. Source: Alexandria via LeMat-Bulk, functional GGA-PBE.

Computed properties:
* SG: P2/m
* ΔE_f (raw): -6.7 eV/f.u.

The structure in extended XYZ format:
```
8
Lattice="-3.613 0.716 1.983 2.697 -3.088 6.027 1.834 8.148 0.401" Properties=species:S:1:pos:R:3 pbc="T T T"
La 2.303 5.774 2.113
La 2.228 -0.713 4.316
La 1.681 4.684 5.783
La -0.762 1.092 2.629
Si 0.000 0.000 0.000
I -0.889 4.432 1.192
I 2.266 2.530 3.214
C -0.458 -1.186 4.005
```

no.,total magnetic moment (μB per atom)
1,0.000
2,0.811
3,0.000
4,0.000
5,0.000
6,0.000